[1]
RbH2Au | GGA-PBE | optimized geometry

CIF file:
```
data_RbH2Au
_cell_length_a 6.5949
_cell_length_b 6.5949
_cell_length_c 6.5949
_cell_angle_alpha 90.00
_cell_angle_beta 90.00
_cell_angle_gamma 90.00
_space_group_name_H-M_alt 'P 1'
_space_group_IT_number 1
_space_group_name_Hall 'P 1'
loop_
_atom_site_label
_atom_site_fract_x
_atom_site_fract_y
_atom_site_fract_z
Rb1 0.0000 0.0000 0.0000
Rb2 0.0000 0.5000 0.5000
Rb3 0.5000 0.0000 0.5000
Rb4 0.5000 0.5000 0.0000
H1 0.2500 0.2500 0.2500
H2 0.2500 0.2500 0.7500
H3 0.2500 0.7500 0.2500
H4 0.2500 0.7500 0.7500
H5 0.7500 0.2500 0.2500
H6 0.7500 0.2500 0.7500
H7 0.7500 0.7500 0.2500
H8 0.7500 0.7500 0.7500
Au1 0.0000 0.0000 0.5000
Au2 0.0000 0.5000 0.0000
Au3 0.5000 0.0000 0.0000
Au4 0.5000 0.5000 0.5000
```

calculated volume = 17.93 A^3/atom
space group = Fm-3m
polymorph energy (0 for the lowest one) = 980 meV/atom
size of the total moment = 2.6 μB per cell



[2]
Rb3HAu | GGA-PBE | optimized geometry

CIF file:
```
data_Rb3HAu
_cell_length_a 5.6639
_cell_length_b 5.6639
_cell_length_c 5.6639
_cell_angle_alpha 90.00
_cell_angle_beta 90.00
_cell_angle_gamma 90.00
_space_group_name_H-M_alt 'P 1'
_space_group_IT_number 1
_space_group_name_Hall 'P 1'
loop_
_atom_site_label
_atom_site_fract_x
_atom_site_fract_y
_atom_site_fract_z
Rb1 0.0000 0.0000 0.5000
Rb2 0.0000 0.5000 0.0000
Rb3 0.5000 0.0000 0.0000
H1 0.0000 0.0000 0.0000
Au1 0.5000 0.5000 0.5000
```

calculated volume = 36.34 A^3/atom
space group = Pm-3m
polymorph energy (0 for the lowest one) = 23 meV/atom
size of the total moment = 0.0 μB per cell



[3]
RbReH2Au | GGA-PBE | optimized geometry

CIF file:
```
data_RbReH2Au
_cell_length_a 4.1192
_cell_length_b 4.1192
_cell_length_c 6.6655
_cell_angle_alpha 90.00
_cell_angle_beta 90.00
_cell_angle_gamma 90.00
_space_group_name_H-M_alt 'P 1'
_space_group_IT_number 1
_space_group_name_Hall 'P 1'
loop_
_atom_site_label
_atom_site_fract_x
_atom_site_fract_y
_atom_site_fract_z
Rb1 0.0000 0.0000 0.0000
Re1 0.5000 0.5000 0.5000
H1 0.0000 0.5000 0.0000
H2 0.5000 0.0000 0.0000
Au1 0.0000 0.0000 0.5000
```

calculated volume = 22.62 A^3/atom
final energy = -2.86 eV per atom
space group = P4/mmm
size of the total moment = 4.8 μB per cell



[4]
RbH2RhAu | GGA-PBE | optimized geometry

CIF file:
```
data_RbH2RhAu
_cell_length_a 3.9350
_cell_length_b 3.9350
_cell_length_c 6.4885
_cell_angle_alpha 90.00
_cell_angle_beta 90.00
_cell_angle_gamma 90.00
_space_group_name_H-M_alt 'P 1'
_space_group_IT_number 1
_space_group_name_Hall 'P 1'
loop_
_atom_site_label
_atom_site_fract_x
_atom_site_fract_y
_atom_site_fract_z
Rb1 0.0000 0.0000 0.0000
H1 0.0000 0.5000 0.0000
H2 0.5000 0.0000 0.0000
Rh1 0.0000 0.0000 0.5000
Au1 0.5000 0.5000 0.5000
```

calculated volume = 20.09 A^3/atom
final energy = -2.26 eV per atom
space group = P4/mmm
size of the total moment = 1.0 μB per cell